Computed, not measured: a relaxed CePr6NdSm2 crystal at the GGA-PBE level of DFT.

Cell: 11.4539 7.0780 9.0381 Å, 90.00 103.44 90.00°
Last column: nearest neighbours and their distance in Å.
Space group C2/m (No. 12)
Inequivalent atoms, fractional coordinates:
Ce1 0.0000 0.0000 0.0000 (multiplicity 2)  6 Pr 3.53-3.69, 4 Sm 3.87
Pr1 0.1254 0.0000 0.4144 (multiplicity 4)  7 Pr 3.56-3.98, 1 Ce 3.69, 2 Nd 3.96
Pr2 0.1739 0.2629 0.7983 (multiplicity 8)  2 Sm 3.22-3.57, 1 Pr 3.36, 1 Nd 3.40, 1 Ce 3.53
Nd1 0.0000 0.5000 0.5000 (multiplicity 2)  4 Pr 3.40, 2 Sm 3.48
Sm1 0.0908 0.5000 0.1584 (multiplicity 4)  1 Sm 3.12, 2 Pr 3.22, 1 Nd 3.48

Computed properties:
ΔH_f (0 K) (eV/atom): 0.2243
Magnetic moment (μB per cell): 2.09

Computed, not measured: a relaxed Tb2SmHfAs4 crystal at the GGA-PBE level of DFT.

Cell: 7.0437 4.0668 7.0519 Å, 90.00 109.25 90.00°
Last column: nearest neighbours and their distance in Å.
Space group P2/m (No. 10)
Inequivalent atoms, fractional coordinates:
Tb1 0.0000 0.0000 0.0000 (multiplicity 1)  6 As 2.86
Tb2 0.0000 0.5000 0.5000 (multiplicity 1)  6 As 2.96
Sm1 0.5000 0.0000 0.5000 (multiplicity 1)  6 As 2.89-2.90
Hf1 0.5000 0.5000 0.0000 (multiplicity 1)  6 As 2.79-2.80
As1 0.2542 0.5000 0.2392 (multiplicity 2)  1 Hf 2.79, 3 Tb 2.86-2.96, 2 Sm 2.90
As2 0.2623 0.0000 0.7655 (multiplicity 2)  2 Hf 2.80, 3 Tb 2.86-2.96, 1 Sm 2.89

Computed properties:
ΔH_f (0 K) (eV/atom): -1.3881
Magnetic moment (μB per cell): 0.00

Question: Which of these has the lowest ΔH_f (0 K)?
Answer: Tb2SmHfAs4